# 1
Crystalline BaSr2ZnNi at its relaxed geometry. Source: Alexandria via LeMat-Bulk, functional PBE.

Cell: 5.7574 5.7574 5.9686 Å, 90.00 90.00 90.00°
Closest atoms and distances in Å follow each position.
Atoms (fractional coordinates):
Sr: 0.0000 0.5000 0.0000  2 Ni 2.88
Sr: 0.5000 0.0000 0.0000  2 Ni 2.88
Ni: 0.0000 0.0000 0.0000  4 Sr 2.88, 2 Ba 2.98
Ba: 0.0000 0.0000 0.5000  2 Ni 2.98
Zn: 0.5000 0.5000 0.5000  4 Ba 4.07, 8 Sr 4.15

Calculated values
- ΔE_f (eV per formula unit) = 0.4
- polymorph energy (0 for the lowest one) (meV per atom) = 18
- ρ (g/cm3) = 3.67
- V (Å³ per cell) = 197.8

---

# 2
Crystalline Ba2SrZnNi at its relaxed geometry. Source: Alexandria via LeMat-Bulk, functional PBE.

Cell: 5.9916 5.9916 5.7720 Å, 90.00 90.00 90.00°
Closest atoms and distances in Å follow each position.
Atoms (fractional coordinates):
Ni: 0.0000 0.0000 0.0000  2 Sr 2.89, 4 Ba 3.00
Zn: 0.5000 0.5000 0.5000  8 Ba 4.16, 4 Sr 4.24
Sr: 0.0000 0.0000 0.5000  2 Ni 2.89
Ba: 0.0000 0.5000 0.0000  2 Ni 3.00
Ba: 0.5000 0.0000 0.0000  2 Ni 3.00

Calculated values
- ΔE_f (eV per formula unit) = 0.4
- polymorph energy (0 for the lowest one) (meV per atom) = 5
- ρ (g/cm3) = 3.90
- V (Å³ per cell) = 207.2

---

# 3
Crystalline BaTa3Ni at its relaxed geometry. Source: Alexandria via LeMat-Bulk, functional PBE.

Cell: 5.0140 5.0140 5.0140 Å, 90.00 90.00 90.00°
Closest atoms and distances in Å follow each position.
Atoms (fractional coordinates):
Ta: 0.5000 0.0000 0.0000  2 Ba 2.51
Ta: 0.0000 0.0000 0.5000  2 Ba 2.51
Ta: 0.0000 0.5000 0.0000  2 Ba 2.51
Ni: 0.5000 0.5000 0.5000  12 Ta 3.55
Ba: 0.0000 0.0000 0.0000  6 Ta 2.51

Calculated values
- ΔE_f (eV per formula unit) = 16.3
- polymorph energy (0 for the lowest one) (meV per atom) = 2116
- ρ (g/cm3) = 9.73
- V (Å³ per cell) = 126.1

---

# 4
Crystalline BaTaNi3 at its relaxed geometry. Source: Alexandria via LeMat-Bulk, functional PBE.

Cell: 4.7900 4.7900 4.7900 Å, 90.00 90.00 90.00°
Closest atoms and distances in Å follow each position.
Atoms (fractional coordinates):
Ni: 0.5000 0.0000 0.0000  2 Ta 2.39
Ni: 0.0000 0.0000 0.5000  2 Ta 2.39
Ni: 0.0000 0.5000 0.0000  2 Ta 2.39
Ba: 0.5000 0.5000 0.5000  12 Ni 3.39
Ta: 0.0000 0.0000 0.0000  6 Ni 2.39

Calculated values
- ΔE_f (eV per formula unit) = 2.9
- polymorph energy (0 for the lowest one) (meV per atom) = 0
- ρ (g/cm3) = 7.47
- V (Å³ per cell) = 109.9

---

# 5
Crystalline BaTaNi2 at its relaxed geometry. Source: Alexandria via LeMat-Bulk, functional PBE.

Cell: 6.5647 6.5647 6.5647 Å, 37.56 37.56 37.56°
Closest atoms and distances in Å follow each position.
Atoms (fractional coordinates):
Ni: 0.2356 0.2356 0.2356  3 Ta 2.44, 3 Ni 2.56
Ni: 0.9453 0.9453 0.9453  3 Ni 2.56, 3 Ta 2.58
Ta: 0.5669 0.5669 0.5669  6 Ni 2.44-2.58
Ba: 0.7522 0.7522 0.7522  4 Ta 3.39-3.64, 7 Ni 3.53-3.67

Calculated values
- ΔE_f (eV per formula unit) = 0.8
- polymorph energy (0 for the lowest one) (meV per atom) = 130
- ρ (g/cm3) = 7.67
- V (Å³ per cell) = 94.3

---

# 6
Crystalline BaTaNi2 at its relaxed geometry. Source: Alexandria via LeMat-Bulk, functional PBE.

Cell: 5.6734 5.6734 5.6734 Å, 139.63 139.63 58.41°
Closest atoms and distances in Å follow each position.
Atoms (fractional coordinates):
Ta: 0.5000 0.5000 0.0000  4 Ni 2.77
Ba: 0.7500 0.2500 0.5000  4 Ni 2.77
Ni: 0.2500 0.7500 0.5000  4 Ba 2.77
Ni: 0.0000 0.0000 0.0000  4 Ta 2.77

Calculated values
- ΔE_f (eV per formula unit) = 3.7
- polymorph energy (0 for the lowest one) (meV per atom) = 846
- ρ (g/cm3) = 9.53
- V (Å³ per cell) = 75.9